Entry 1:
# PBE SrCuTc2, optimized geometry
# - Formation enthalpy at 0 K: 0.670 eV per atom
# - Calculated volume: 17.69 Å³/atom
# - M_tot: 0.00 μB per cell
# - E above lowest polymorph: 372 meV per atom
data_SrCuTc2
_cell_length_a 2.8209
_cell_length_b 4.7129
_cell_length_c 10.6458
_cell_angle_alpha 90.00
_cell_angle_beta 90.00
_cell_angle_gamma 90.00
_space_group_name_H-M_alt 'I m m m'
_space_group_IT_number 71
_space_group_name_Hall '-I 2 2'
loop_
_atom_site_label
_atom_site_fract_x
_atom_site_fract_y
_atom_site_fract_z
_atom_site_occupancy
Sr1 0.0000 0.0000 0.0000 1
Cu1 0.0000 0.0000 0.5000 1
Tc1 0.0000 0.5000 0.2163 1

***

Entry 2:
# PBE HgSe2SBr, optimized geometry
# - Uncorrected formation energy: 0.4254 eV/atom
# - Calculated volume: 25.25 Å³/atom
# - M_tot: 0.00 μB per cell
# - E above lowest polymorph: 0 meV per atom
data_HgSe2SBr
_cell_length_a 4.9792
_cell_length_b 4.9792
_cell_length_c 5.0919
_cell_angle_alpha 90.00
_cell_angle_beta 90.00
_cell_angle_gamma 90.00
_space_group_name_H-M_alt 'P 4/m m m'
_space_group_IT_number 123
_space_group_name_Hall '-P 4 2'
loop_
_atom_site_label
_atom_site_fract_x
_atom_site_fract_y
_atom_site_fract_z
_atom_site_occupancy
Hg1 0.0000 0.0000 0.0000 1
Se1 0.0000 0.5000 0.5000 1
S1 0.5000 0.5000 0.5000 1
Br1 0.5000 0.5000 0.0000 1

***

Entry 3:
# PBE Pm10Ho6Tm, optimized geometry
# - Formation enthalpy at 0 K: 0.125 eV per atom
# - Calculated volume: 33.45 Å³/atom
# - M_tot: 0.00 μB per cell
data_Pm10Ho6Tm
_cell_length_a 9.7741
_cell_length_b 9.7741
_cell_length_c 6.8735
_cell_angle_alpha 90.00
_cell_angle_beta 90.00
_cell_angle_gamma 120.00
_space_group_name_H-M_alt 'P -3 1 m'
_space_group_IT_number 162
_space_group_name_Hall '-P 3 2'
loop_
_atom_site_label
_atom_site_fract_x
_atom_site_fract_y
_atom_site_fract_z
_atom_site_occupancy
Pm1 0.0000 0.2737 0.3145 1
Pm2 0.3333 0.6667 0.0000 1
Pm3 0.3333 0.6667 0.5000 1
Ho1 0.0000 0.3715 0.8074 1
Tm1 0.0000 0.0000 0.0000 1

***

Entry 4:
# PBE CoRe, optimized geometry
# - Formation enthalpy at 0 K: -0.019 eV per atom
# - Calculated volume: 12.59 Å³/atom
# - M_tot: 0.00 μB per cell
data_CoRe
_cell_length_a 2.5980
_cell_length_b 9.6392
_cell_length_c 4.0220
_cell_angle_alpha 90.00
_cell_angle_beta 90.00
_cell_angle_gamma 90.00
_space_group_name_H-M_alt 'C m c m'
_space_group_IT_number 63
_space_group_name_Hall '-C 2c 2'
loop_
_atom_site_label
_atom_site_fract_x
_atom_site_fract_y
_atom_site_fract_z
_atom_site_occupancy
Co1 0.0000 0.0664 0.2500 1
Re1 0.0000 0.3340 0.2500 1

***

Entry 5:
# PBE SrCrI2N, optimized geometry
# - Uncorrected formation energy: -0.4568 eV/atom
# - Calculated volume: 26.05 Å³/atom
# - M_tot: 2.65 μB per cell
# - E above lowest polymorph: 0 meV per atom
data_SrCrI2N
_cell_length_a 5.8878
_cell_length_b 5.8878
_cell_length_c 3.7575
_cell_angle_alpha 90.00
_cell_angle_beta 90.00
_cell_angle_gamma 90.00
_space_group_name_H-M_alt 'P 4/m m m'
_space_group_IT_number 123
_space_group_name_Hall '-P 4 2'
loop_
_atom_site_label
_atom_site_fract_x
_atom_site_fract_y
_atom_site_fract_z
_atom_site_occupancy
Sr1 0.0000 0.0000 0.0000 1
Cr1 0.5000 0.5000 0.5000 1
I1 0.0000 0.5000 0.5000 1
N1 0.5000 0.5000 0.0000 1

***

Entry 6:
# PBE TlSnAsBr2, optimized geometry
# - Uncorrected formation energy: -0.1549 eV/atom
# - Calculated volume: 35.63 Å³/atom
# - M_tot: 1.00 μB per cell
# - E above lowest polymorph: 0 meV per atom
data_TlSnAsBr2
_cell_length_a 5.7773
_cell_length_b 5.7773
_cell_length_c 5.3378
_cell_angle_alpha 90.00
_cell_angle_beta 90.00
_cell_angle_gamma 90.00
_space_group_name_H-M_alt 'P 4/m m m'
_space_group_IT_number 123
_space_group_name_Hall '-P 4 2'
loop_
_atom_site_label
_atom_site_fract_x
_atom_site_fract_y
_atom_site_fract_z
_atom_site_occupancy
Tl1 0.0000 0.0000 0.0000 1
Sn1 0.5000 0.5000 0.5000 1
As1 0.5000 0.5000 0.0000 1
Br1 0.0000 0.5000 0.5000 1

***

Entry 7:
# PBE MgAgIr, optimized geometry
# - Formation enthalpy at 0 K: 0.053 eV per atom
# - Calculated volume: 16.44 Å³/atom
# - M_tot: 0.00 μB per cell
# - E above lowest polymorph: 73 meV per atom
data_MgAgIr
_cell_length_a 3.0102
_cell_length_b 4.7476
_cell_length_c 13.8043
_cell_angle_alpha 90.00
_cell_angle_beta 90.00
_cell_angle_gamma 90.00
_space_group_name_H-M_alt 'F m m 2'
_space_group_IT_number 42
_space_group_name_Hall 'F 2 -2'
loop_
_atom_site_label
_atom_site_fract_x
_atom_site_fract_y
_atom_site_fract_z
_atom_site_occupancy
Mg1 0.0000 0.0000 0.0000 1
Ag1 0.0000 0.0000 0.6712 1
Ir1 0.0000 0.0000 0.3475 1

***

Entry 8:
# PBE CaNdSmTh, optimized geometry
# - Formation enthalpy at 0 K: 0.223 eV per atom
# - Calculated volume: 34.87 Å³/atom
# - M_tot: 2.99 μB per cell
data_CaNdSmTh
_cell_length_a 8.2326
_cell_length_b 8.2326
_cell_length_c 8.2326
_cell_angle_alpha 90.00
_cell_angle_beta 90.00
_cell_angle_gamma 90.00
_space_group_name_H-M_alt 'F -4 3 m'
_space_group_IT_number 216
_space_group_name_Hall 'F -4 2 3'
loop_
_atom_site_label
_atom_site_fract_x
_atom_site_fract_y
_atom_site_fract_z
_atom_site_occupancy
Ca1 0.0000 0.0000 0.0000 1
Nd1 0.2500 0.2500 0.2500 1
Sm1 0.2500 0.2500 0.7500 1
Th1 0.0000 0.0000 0.5000 1

***

Entry 9:
# PBE MnVCl2, optimized geometry
# - Uncorrected formation energy: -0.1687 eV/atom
# - Calculated volume: 18.71 Å³/atom
# - M_tot: 15.24 μB per cell
# - E above lowest polymorph: 0 meV per atom
data_MnVCl2
_cell_length_a 3.1117
_cell_length_b 3.1117
_cell_length_c 26.7696
_cell_angle_alpha 90.00
_cell_angle_beta 90.00
_cell_angle_gamma 120.00
_space_group_name_H-M_alt 'R -3 m'
_space_group_IT_number 166
_space_group_name_Hall '-R 3 2"'
loop_
_atom_site_label
_atom_site_fract_x
_atom_site_fract_y
_atom_site_fract_z
_atom_site_occupancy
Mn1 0.0000 0.0000 0.0000 1
V1 0.0000 0.0000 0.5000 1
Cl1 0.0000 0.0000 0.1067 1

***

Entry 10:
# PBE CuSi2Os2, optimized geometry
# - Uncorrected formation energy: -0.1233 eV/atom
# - Calculated volume: 13.86 Å³/atom
# - M_tot: 0.00 μB per cell
# - E above lowest polymorph: 0 meV per atom
data_CuSi2Os2
_cell_length_a 6.9043
_cell_length_b 6.9043
_cell_length_c 2.9080
_cell_angle_alpha 90.00
_cell_angle_beta 90.00
_cell_angle_gamma 90.00
_space_group_name_H-M_alt 'P 4/m b m'
_space_group_IT_number 127
_space_group_name_Hall '-P 4 2ab'
loop_
_atom_site_label
_atom_site_fract_x
_atom_site_fract_y
_atom_site_fract_z
_atom_site_occupancy
Cu1 0.0000 0.0000 0.0000 1
Si1 0.1492 0.3508 0.5000 1
Os1 0.1478 0.6478 0.0000 1

***

Entry 11:
# PBE ErScGaOs, optimized geometry
# - Formation enthalpy at 0 K: -0.432 eV per atom
# - Calculated volume: 19.08 Å³/atom
# - M_tot: 0.00 μB per cell
data_ErScGaOs
_cell_length_a 6.7331
_cell_length_b 6.7331
_cell_length_c 6.7331
_cell_angle_alpha 90.00
_cell_angle_beta 90.00
_cell_angle_gamma 90.00
_space_group_name_H-M_alt 'F -4 3 m'
_space_group_IT_number 216
_space_group_name_Hall 'F -4 2 3'
loop_
_atom_site_label
_atom_site_fract_x
_atom_site_fract_y
_atom_site_fract_z
_atom_site_occupancy
Er1 0.0000 0.0000 0.0000 1
Sc1 0.0000 0.0000 0.5000 1
Ga1 0.2500 0.2500 0.2500 1
Os1 0.2500 0.2500 0.7500 1

***

Entry 12:
# PBE BTe2W, optimized geometry
# - Uncorrected formation energy: 1.0354 eV/atom
# - Calculated volume: 22.68 Å³/atom
# - M_tot: 4.03 μB per cell
data_BTe2W
_cell_length_a 5.9303
_cell_length_b 5.9303
_cell_length_c 10.3204
_cell_angle_alpha 90.00
_cell_angle_beta 90.00
_cell_angle_gamma 90.00
_space_group_name_H-M_alt 'I -4 2 d'
_space_group_IT_number 122
_space_group_name_Hall 'I -4 2bw'
loop_
_atom_site_label
_atom_site_fract_x
_atom_site_fract_y
_atom_site_fract_z
_atom_site_occupancy
B1 0.0000 0.0000 0.0000 1
Te1 0.2002 0.2500 0.1250 1
W1 0.0000 0.0000 0.5000 1

***

Entry 13:
# PBE SmDy2Y6Er3, optimized geometry
# - Formation enthalpy at 0 K: 0.023 eV per atom
# - Calculated volume: 31.74 Å³/atom
# - M_tot: 0.00 μB per cell
data_SmDy2Y6Er3
_cell_length_a 6.1602
_cell_length_b 10.6570
_cell_length_c 11.7824
_cell_angle_alpha 90.00
_cell_angle_beta 99.99
_cell_angle_gamma 90.00
_space_group_name_H-M_alt 'C 1 2/m 1'
_space_group_IT_number 12
_space_group_name_Hall '-C 2y'
loop_
_atom_site_label
_atom_site_fract_x
_atom_site_fract_y
_atom_site_fract_z
_atom_site_occupancy
Sm1 0.0000 0.0000 0.0000 1
Dy1 0.0000 0.3333 0.0000 1
Y1 0.2494 0.0000 0.7484 1
Y2 0.2488 0.3332 0.7483 1
Er1 0.0000 0.1668 0.5000 1
Er2 0.0000 0.5000 0.5000 1

***

Entry 14:
# PBE LiZn17Hg, optimized geometry
# - Formation enthalpy at 0 K: 0.015 eV per atom
# - Calculated volume: 16.63 Å³/atom
# - M_tot: 0.00 μB per cell
data_LiZn17Hg
_cell_length_a 9.0847
_cell_length_b 9.0847
_cell_length_c 13.2599
_cell_angle_alpha 90.00
_cell_angle_beta 90.00
_cell_angle_gamma 120.00
_space_group_name_H-M_alt 'R 3 m'
_space_group_IT_number 160
_space_group_name_Hall 'R 3 -2"'
loop_
_atom_site_label
_atom_site_fract_x
_atom_site_fract_y
_atom_site_fract_z
_atom_site_occupancy
Li1 0.0000 0.0000 0.0000 1
Zn1 0.0000 0.0000 0.2175 1
Zn2 0.0000 0.0000 0.4182 1
Zn3 0.0009 0.3038 0.3130 1
Zn4 0.0081 0.5040 0.1661 1
Zn5 0.1673 0.3346 0.1459 1
Zn6 0.1735 0.3470 0.7969 1
Hg1 0.0000 0.0000 0.7652 1

***

Entry 15:
# PBE Dy12Ho7Zr, optimized geometry
# - Formation enthalpy at 0 K: 0.266 eV per atom
# - Calculated volume: 32.14 Å³/atom
# - M_tot: 2.89 μB per cell
# - E above lowest polymorph: 0 meV per atom
data_Dy12Ho7Zr
_cell_length_a 12.3052
_cell_length_b 12.3052
_cell_length_c 14.7081
_cell_angle_alpha 90.00
_cell_angle_beta 90.00
_cell_angle_gamma 120.00
_space_group_name_H-M_alt 'R -3'
_space_group_IT_number 148
_space_group_name_Hall '-R 3'
loop_
_atom_site_label
_atom_site_fract_x
_atom_site_fract_y
_atom_site_fract_z
_atom_site_occupancy
Dy1 0.0198 0.4379 0.2154 1
Dy2 0.0483 0.1868 0.3108 1
Ho1 0.0000 0.0000 0.5000 1
Ho2 0.0692 0.8356 0.9019 1
Zr1 0.0000 0.0000 0.0000 1

***

Entry 16:
# PBE TaGaRu2, optimized geometry
# - Formation enthalpy at 0 K: -0.509 eV per atom
# - Calculated volume: 14.98 Å³/atom
# - M_tot: 0.00 μB per cell
data_TaGaRu2
_cell_length_a 3.1433
_cell_length_b 3.1433
_cell_length_c 6.0665
_cell_angle_alpha 90.00
_cell_angle_beta 90.00
_cell_angle_gamma 90.00
_space_group_name_H-M_alt 'P 4/m m m'
_space_group_IT_number 123
_space_group_name_Hall '-P 4 2'
loop_
_atom_site_label
_atom_site_fract_x
_atom_site_fract_y
_atom_site_fract_z
_atom_site_occupancy
Ta1 0.0000 0.0000 0.0000 1
Ga1 0.0000 0.0000 0.5000 1
Ru1 0.5000 0.5000 0.2547 1

***

Entry 17:
# PBE YSb2Ir, optimized geometry
# - Uncorrected formation energy: -0.1662 eV/atom
# - Calculated volume: 22.14 Å³/atom
# - M_tot: 0.00 μB per cell
data_YSb2Ir
_cell_length_a 3.4148
_cell_length_b 3.4148
_cell_length_c 7.5959
_cell_angle_alpha 90.00
_cell_angle_beta 90.00
_cell_angle_gamma 90.00
_space_group_name_H-M_alt 'P 4/m m m'
_space_group_IT_number 123
_space_group_name_Hall '-P 4 2'
loop_
_atom_site_label
_atom_site_fract_x
_atom_site_fract_y
_atom_site_fract_z
_atom_site_occupancy
Y1 0.0000 0.0000 0.0000 1
Sb1 0.5000 0.5000 0.2901 1
Ir1 0.0000 0.0000 0.5000 1

***

Entry 18:
# PBE SbMo2, optimized geometry
# - Uncorrected formation energy: 0.3387 eV/atom
# - Calculated volume: 17.62 Å³/atom
# - M_tot: 0.00 μB per cell
# - E above lowest polymorph: 139 meV per atom
data_SbMo2
_cell_length_a 3.1090
_cell_length_b 8.1421
_cell_length_c 4.1758
_cell_angle_alpha 90.00
_cell_angle_beta 90.00
_cell_angle_gamma 90.00
_space_group_name_H-M_alt 'P n n m'
_space_group_IT_number 58
_space_group_name_Hall '-P 2 2n'
loop_
_atom_site_label
_atom_site_fract_x
_atom_site_fract_y
_atom_site_fract_z
_atom_site_occupancy
Sb1 0.0000 0.0000 0.0000 1
Mo1 0.0063 0.3377 0.0000 1

***

Entry 19:
# PBE Y2ScTc, optimized geometry
# - Formation enthalpy at 0 K: 0.139 eV per atom
# - Calculated volume: 23.23 Å³/atom
# - M_tot: 0.00 μB per cell
# - E above lowest polymorph: 245 meV per atom
data_Y2ScTc
_cell_length_a 7.1898
_cell_length_b 7.1898
_cell_length_c 7.1898
_cell_angle_alpha 90.00
_cell_angle_beta 90.00
_cell_angle_gamma 90.00
_space_group_name_H-M_alt 'F m -3 m'
_space_group_IT_number 225
_space_group_name_Hall '-F 4 2 3'
loop_
_atom_site_label
_atom_site_fract_x
_atom_site_fract_y
_atom_site_fract_z
_atom_site_occupancy
Y1 0.2500 0.2500 0.2500 1
Sc1 0.0000 0.0000 0.0000 1
Tc1 0.0000 0.0000 0.5000 1

***

Entry 20:
# PBE PuAlBO5, optimized geometry
# - Uncorrected formation energy: -2.7362 eV/atom
# - Calculated volume: 10.01 Å³/atom
# - M_tot: 16.00 μB per cell
data_PuAlBO5
_cell_length_a 6.2812
_cell_length_b 8.3257
_cell_length_c 6.5772
_cell_angle_alpha 90.00
_cell_angle_beta 111.39
_cell_angle_gamma 90.00
_space_group_name_H-M_alt 'C 1 2/c 1'
_space_group_IT_number 15
_space_group_name_Hall '-C 2yc'
loop_
_atom_site_label
_atom_site_fract_x
_atom_site_fract_y
_atom_site_fract_z
_atom_site_occupancy
Pu1 0.0000 0.1646 0.2500 1
Al1 0.0000 0.5000 0.0000 1
B1 0.0000 0.1831 0.7500 1
O1 0.0000 0.4200 0.2500 1
O2 0.1029 0.2874 0.6230 1
O3 0.1690 0.0735 0.9116 1

***

Entry 21:
# PBE Ba3Ag5I12, optimized geometry
# - Uncorrected formation energy: -0.8982 eV/atom
# - Calculated volume: 41.07 Å³/atom
# - M_tot: 0.00 μB per cell
data_Ba3Ag5I12
_cell_length_a 18.7305
_cell_length_b 18.7305
_cell_length_c 18.7305
_cell_angle_alpha 90.00
_cell_angle_beta 90.00
_cell_angle_gamma 90.00
_space_group_name_H-M_alt 'I a -3 d'
_space_group_IT_number 230
_space_group_name_Hall '-I 4bd 2c 3'
loop_
_atom_site_label
_atom_site_fract_x
_atom_site_fract_y
_atom_site_fract_z
_atom_site_occupancy
Ba1 0.0000 0.2500 0.1250 1
Ag1 0.0000 0.0000 0.0000 1
Ag2 0.0000 0.2500 0.3750 1
I1 0.0282 0.0584 0.6488 1